## K3ScSn (GGA-PBE)

Data for an optimized crystal structure of K3ScSn. Values from VASP.

Computed properties:
Magnetic moment in Bohr magnetons per cell: 0.022
Mass density in kg/m3: 1590
E in eV per atom: -1.742
Energy of formation from the pure elements in meV per atom: 983.8
SG: Pm-3m (221)

```
&SYSTEM
  ibrav = 0, nat = 5, ntyp = 3
/
ATOMIC_SPECIES
K 39.10 K.upf
Sc 44.96 Sc.upf
Sn 118.71 Sn.upf
CELL_PARAMETERS angstrom
6.6448 0.0000 0.0000
0.0000 6.6448 0.0000
0.0000 0.0000 6.6448
ATOMIC_POSITIONS crystal
K 0.0000 0.0000 0.5000
K 0.0000 0.5000 0.0000
K 0.5000 0.0000 0.0000
Sc 0.0000 0.0000 0.0000
Sn 0.5000 0.5000 0.5000
```

## KScSn (GGA-PBE)

Data for an optimized crystal structure of KScSn. Values from VASP.

Computed properties:
Magnetic moment in Bohr magnetons per cell: 0.000
Mass density in kg/m3: 3284
E in eV per atom: -4.155
Energy of formation from the pure elements in meV per atom: -344.6
SG: P-1 (2)

```
&SYSTEM
  ibrav = 0, nat = 6, ntyp = 3
/
ATOMIC_SPECIES
K 39.10 K.upf
Sc 44.96 Sc.upf
Sn 118.71 Sn.upf
CELL_PARAMETERS angstrom
3.4304 0.0000 0.0000
0.0017 4.4978 0.0000
1.5959 0.0225 13.2882
ATOMIC_POSITIONS crystal
K 0.0902 0.2484 0.3451
K 0.9098 0.7516 0.6549
Sc 0.2166 0.2496 0.0715
Sc 0.7834 0.7504 0.9285
Sn 0.3235 0.2509 0.8427
Sn 0.6765 0.7491 0.1573
```

## KSc3Sn (GGA-PBE)

Data for an optimized crystal structure of KSc3Sn. Values from VASP.

Computed properties:
Magnetic moment in Bohr magnetons per cell: 0.000
Mass density in kg/m3: 3960
E in eV per atom: -3.642
Energy of formation from the pure elements in meV per atom: 1177.2
SG: Pm-3m (221)

```
&SYSTEM
  ibrav = 0, nat = 5, ntyp = 3
/
ATOMIC_SPECIES
K 39.10 K.upf
Sc 44.96 Sc.upf
Sn 118.71 Sn.upf
CELL_PARAMETERS angstrom
4.9693 0.0000 0.0000
0.0000 4.9693 0.0000
0.0000 0.0000 4.9693
ATOMIC_POSITIONS crystal
K 0.0000 0.0000 0.0000
Sc 0.0000 0.0000 0.5000
Sc 0.0000 0.5000 0.0000
Sc 0.5000 0.0000 0.0000
Sn 0.5000 0.5000 0.5000
```

## KScSn2 (GGA-PBE)

Data for an optimized crystal structure of KScSn2. Values from VASP.

Computed properties:
Magnetic moment in Bohr magnetons per cell: 0.000
Mass density in kg/m3: 4634
E in eV per atom: -4.088
Energy of formation from the pure elements in meV per atom: -229.2
SG: R-3m (166)

```
&SYSTEM
  ibrav = 0, nat = 4, ntyp = 3
/
ATOMIC_SPECIES
K 39.10 K.upf
Sc 44.96 Sc.upf
Sn 118.71 Sn.upf
CELL_PARAMETERS angstrom
1.7825 1.0292 10.4661
-1.7825 1.0292 10.4661
0.0000 -2.0583 10.4661
ATOMIC_POSITIONS crystal
K 0.0000 0.0000 0.0000
Sc 0.5000 0.5000 0.5000
Sn 0.2404 0.2404 0.2404
Sn 0.7596 0.7596 0.7596
```

## KScSn (GGA-PBE)

Data for an optimized crystal structure of KScSn. Values from VASP.

Computed properties:
Magnetic moment in Bohr magnetons per cell: 0.000
Mass density in kg/m3: 3550
E in eV per atom: -4.072
Energy of formation from the pure elements in meV per atom: -261.9
SG: Pnma (62)

```
&SYSTEM
  ibrav = 0, nat = 12, ntyp = 3
/
ATOMIC_SPECIES
K 39.10 K.upf
Sc 44.96 Sc.upf
Sn 118.71 Sn.upf
CELL_PARAMETERS angstrom
9.0362 0.0000 0.0000
0.0000 5.0800 0.0000
0.0000 0.0000 8.2656
ATOMIC_POSITIONS crystal
K 0.0009 0.2500 0.1486
K 0.4991 0.7500 0.6486
K 0.5009 0.2500 0.3514
K 0.9991 0.7500 0.8514
Sc 0.1355 0.7500 0.4281
Sc 0.3645 0.2500 0.9281
Sc 0.6355 0.7500 0.0719
Sc 0.8645 0.2500 0.5719
Sn 0.1859 0.2500 0.6190
Sn 0.3141 0.7500 0.1190
Sn 0.6859 0.2500 0.8810
Sn 0.8141 0.7500 0.3810
```

## KScSn (GGA-PBE)

Data for an optimized crystal structure of KScSn. Values from VASP.

Computed properties:
Magnetic moment in Bohr magnetons per cell: 0.000
Mass density in kg/m3: 3699
E in eV per atom: -3.927
Energy of formation from the pure elements in meV per atom: -116.7
SG: Imma (74)

```
&SYSTEM
  ibrav = 0, nat = 6, ntyp = 3
/
ATOMIC_SPECIES
K 39.10 K.upf
Sc 44.96 Sc.upf
Sn 118.71 Sn.upf
CELL_PARAMETERS angstrom
-3.1288 3.4319 4.2390
3.1288 -3.4319 4.2390
3.1288 3.4319 -4.2390
ATOMIC_POSITIONS crystal
K 0.3843 0.1343 0.2500
K 0.6157 0.8657 0.7500
Sc 0.0000 0.0000 0.5000
Sc 0.0000 0.5000 0.0000
Sn 0.0000 0.5000 0.5000
Sn 0.5000 0.5000 0.0000
```